Entry 1:
{"formula": "NaPrP", "functional": "PBE", "state": "relaxed", "dos_at_fermi_per_ev_fu": 0.31, "space_group": "No. 166", "energy_ev_per_atom": -4.481, "lattice": [[4.9162, 0.0000, 0.0000], [2.4581, 4.2576, 0.0000], [2.4581, 1.4192, 9.8058]], "species": ["Na", "Na", "Pr", "P", "Pr", "P"], "frac_coords": [[0.8705, 0.8705, 0.3884], [0.1295, 0.1295, 0.6116], [0.2864, 0.2864, 0.1409], [0.6155, 0.6155, 0.1534], [0.7136, 0.7136, 0.8591], [0.3845, 0.3845, 0.8466]]}

=====

Entry 2:
{"formula": "NaPrP2Pt4", "functional": "PBE", "state": "relaxed", "dos_at_fermi_per_ev_fu": 2.90, "space_group": "No. 123", "energy_ev_per_atom": -5.796, "lattice": [[4.0434, 0.0000, 0.0000], [0.0000, 4.0434, 0.0000], [0.0000, 0.0000, 10.1756]], "species": ["P", "Na", "Pt", "Pt", "Pt", "P", "Pr", "Pt"], "frac_coords": [[0.5000, 0.5000, 0.3446], [0.0000, 0.0000, 0.5000], [0.0000, 0.5000, 0.2271], [0.5000, 0.0000, 0.7729], [0.0000, 0.5000, 0.7729], [0.5000, 0.5000, 0.6554], [0.0000, 0.0000, 0.0000], [0.5000, 0.0000, 0.2271]]}

=====

Entry 3:
{"formula": "NaPr2P3Rh12", "functional": "PBE", "state": "relaxed", "dos_at_fermi_per_ev_fu": 16.54, "space_group": "No. 166", "energy_ev_per_atom": -6.590, "lattice": [[-4.6764, -2.3950, 4.2164], [-0.5139, -6.0891, -2.8358], [4.2773, -3.1252, 4.1617]], "species": ["Rh", "Rh", "Rh", "Pr", "Rh", "Rh", "Rh", "P", "Rh", "Na", "Pr", "Rh", "P", "P", "Rh", "Rh", "Rh", "Rh"], "frac_coords": [[0.0898, 0.6344, 0.6344], [0.6706, 0.1728, 0.1728], [0.1728, 0.1728, 0.6706], [0.6270, 0.6270, 0.6270], [0.8272, 0.8272, 0.3294], [0.3294, 0.8272, 0.8272], [0.9102, 0.3656, 0.3656], [0.0000, 0.0000, 0.5000], [0.1728, 0.6706, 0.1728], [0.0000, 0.0000, 0.0000], [0.3730, 0.3730, 0.3730], [0.6344, 0.6344, 0.0898], [0.0000, 0.5000, 0.0000], [0.5000, 0.0000, 0.0000], [0.8272, 0.3294, 0.8272], [0.3656, 0.3656, 0.9102], [0.6344, 0.0898, 0.6344], [0.3656, 0.9102, 0.3656]]}

=====

Entry 4:
{"formula": "NaP2Pt4", "functional": "PBE", "state": "relaxed", "dos_at_fermi_per_ev_fu": 3.84, "space_group": "No. 136", "energy_ev_per_atom": -5.642, "lattice": [[3.6420, 0.0000, 0.0000], [0.0000, 7.9008, 0.0000], [0.0000, 0.0000, 7.9008]], "species": ["Pt", "P", "Na", "Pt", "Na", "P", "P", "Pt", "P", "Pt", "Pt", "Pt", "Pt", "Pt"], "frac_coords": [[0.5000, 0.1854, 0.5671], [0.5000, 0.2644, 0.2644], [0.0000, 0.5000, 0.5000], [0.5000, 0.4329, 0.8146], [0.5000, 0.0000, 0.0000], [0.0000, 0.7644, 0.2356], [0.0000, 0.2356, 0.7644], [0.0000, 0.9329, 0.6854], [0.5000, 0.7356, 0.7356], [0.0000, 0.6854, 0.9329], [0.5000, 0.8146, 0.4329], [0.5000, 0.5671, 0.1854], [0.0000, 0.3146, 0.0671], [0.0000, 0.0671, 0.3146]]}

=====

Entry 5:
{"formula": "Na2P2Pt3", "functional": "PBE", "state": "relaxed", "dos_at_fermi_per_ev_fu": 2.54, "space_group": "No. 2", "energy_ev_per_atom": -5.027, "lattice": [[-3.5794, 0.3954, -1.9175], [-4.1321, 0.6574, 3.5504], [-0.3296, 5.9197, 1.8661]], "species": ["Pt", "P", "Pt", "Na", "Pt", "Na", "P"], "frac_coords": [[0.3066, 0.3862, 0.1608], [0.9161, 0.1661, 0.3063], [0.0000, 0.0000, 0.0000], [0.3624, 0.2759, 0.6651], [0.6934, 0.6138, 0.8392], [0.6376, 0.7241, 0.3349], [0.0839, 0.8339, 0.6937]]}

=====

Entry 6:
{"formula": "NaPPt", "functional": "PBE", "state": "relaxed", "dos_at_fermi_per_ev_fu": 1.06, "space_group": "No. 62", "energy_ev_per_atom": -4.757, "lattice": [[4.1310, 0.0000, 0.0000], [0.0000, 6.9893, 0.0000], [0.0000, 0.0000, 7.0489]], "species": ["P", "Na", "Pt", "P", "Na", "P", "Na", "P", "Na", "Pt", "Pt", "Pt"], "frac_coords": [[0.7500, 0.1976, 0.1207], [0.7500, 0.4918, 0.8387], [0.7500, 0.3537, 0.4301], [0.2500, 0.3024, 0.6207], [0.2500, 0.0082, 0.3387], [0.7500, 0.6976, 0.3793], [0.2500, 0.5082, 0.1613], [0.2500, 0.8024, 0.8793], [0.7500, 0.9918, 0.6613], [0.7500, 0.8537, 0.0699], [0.2500, 0.1463, 0.9301], [0.2500, 0.6463, 0.5699]]}

=====

Entry 7:
{"formula": "NaP2Pt3", "functional": "PBE", "state": "relaxed", "dos_at_fermi_per_ev_fu": 2.69, "space_group": "No. 12", "energy_ev_per_atom": -5.426, "lattice": [[-1.2712, 3.2206, 0.4707], [-6.2479, -1.4473, 5.9997], [1.1458, 1.0592, 8.8177]], "species": ["P", "P", "Pt", "Pt", "Na", "Pt", "Na", "Pt", "Pt", "P", "Pt", "P"], "frac_coords": [[0.1640, 0.3340, 0.3380], [0.5420, 0.7136, 0.2023], [0.6902, 0.4932, 0.1265], [0.9608, 0.7044, 0.3741], [0.1266, 0.8818, 0.8650], [0.3098, 0.5068, 0.8735], [0.8734, 0.1182, 0.1350], [0.0392, 0.2957, 0.6259], [0.3088, 0.8750, 0.5073], [0.4580, 0.2864, 0.7977], [0.6912, 0.1250, 0.4927], [0.8360, 0.6660, 0.6620]]}

=====

Entry 8:
{"formula": "Na3P2Pt2", "functional": "PBE", "state": "relaxed", "dos_at_fermi_per_ev_fu": 1.94, "space_group": "No. 57", "energy_ev_per_atom": -4.312, "lattice": [[5.6292, 0.0000, 0.0000], [0.0000, 7.6808, 0.0000], [0.0000, 0.0000, 13.3558]], "species": ["P", "Na", "Na", "Na", "Na", "Pt", "Pt", "Na", "Pt", "P", "P", "Na", "Na", "Pt", "Na", "Pt", "P", "Pt", "Na", "Pt", "P", "P", "Pt", "Na", "Na", "P", "Na", "P"], "frac_coords": [[0.6259, 0.0152, 0.5916], [0.8868, 0.1348, 0.1059], [0.7070, 0.6834, 0.7500], [0.8868, 0.3652, 0.6059], [0.2930, 0.1834, 0.7500], [0.5605, 0.7500, 0.5000], [0.7605, 0.4541, 0.2500], [0.7070, 0.8166, 0.2500], [0.4395, 0.2500, 0.5000], [0.3741, 0.9848, 0.0916], [0.3741, 0.9848, 0.4084], [0.2930, 0.3166, 0.2500], [0.1132, 0.6348, 0.1059], [0.2395, 0.5459, 0.7500], [0.1132, 0.8652, 0.8941], [0.4395, 0.2500, 0.0000], [0.6259, 0.4848, 0.4084], [0.7605, 0.0459, 0.7500], [0.8868, 0.3652, 0.8941], [0.5605, 0.7500, 0.0000], [0.3741, 0.5152, 0.5916], [0.3741, 0.5152, 0.9084], [0.2395, 0.9541, 0.2500], [0.1132, 0.6348, 0.3941], [0.8868, 0.1348, 0.3941], [0.6259, 0.4848, 0.0916], [0.1132, 0.8652, 0.6059], [0.6259, 0.0152, 0.9084]]}

=====

Entry 9:
{"formula": "Na4P2Pt3", "functional": "PBE", "state": "relaxed", "dos_at_fermi_per_ev_fu": 2.28, "space_group": "No. 12", "energy_ev_per_atom": -4.181, "lattice": [[-1.3507, 1.0953, 2.8642], [-3.3965, -6.3635, 0.8318], [8.2378, -1.0333, 2.3198]], "species": ["Na", "Pt", "Na", "P", "Pt", "Na", "Pt", "Na", "P"], "frac_coords": [[0.4355, 0.1237, 0.8709], [0.8968, 0.7421, 0.7936], [0.5645, 0.8763, 0.1291], [0.6040, 0.4797, 0.2079], [0.1032, 0.2579, 0.2064], [0.2444, 0.7142, 0.4889], [0.0000, 0.5000, 0.0000], [0.7556, 0.2858, 0.5111], [0.3960, 0.5203, 0.7921]]}

=====

Entry 10:
{"formula": "NaP2Pt", "functional": "PBE", "state": "relaxed", "dos_at_fermi_per_ev_fu": 2.31, "space_group": "No. 122", "energy_ev_per_atom": -4.691, "lattice": [[7.3498, 0.0000, 0.0000], [0.0000, 7.3498, 0.0000], [3.6749, 3.6749, 2.9579]], "species": ["Pt", "P", "P", "P", "Na", "Pt", "P", "Na"], "frac_coords": [[0.7500, 0.2500, 0.5000], [0.3750, 0.2921, 0.7500], [0.8750, 0.9579, 0.7500], [0.7079, 0.1250, 0.2500], [0.5000, 0.5000, 0.0000], [0.0000, 0.0000, 0.0000], [0.0421, 0.6250, 0.2500], [0.2500, 0.7500, 0.5000]]}

=====

Entry 11:
{"formula": "NaPPt", "functional": "PBE", "state": "relaxed", "dos_at_fermi_per_ev_fu": 3.30, "space_group": "No. 187", "energy_ev_per_atom": -4.758, "lattice": [[-3.0927, 2.4681, 2.2004], [-1.3659, -3.2804, 1.7597], [2.8944, 2.1063, 1.7056]], "species": ["P", "Na", "Pt"], "frac_coords": [[0.1667, 0.6667, 0.3333], [0.6666, 0.3333, 0.6667], [0.1667, 0.0000, 0.0000]]}

=====

Entry 12:
{"formula": "Na5P3Pt3", "functional": "PBE", "state": "relaxed", "dos_at_fermi_per_ev_fu": 4.50, "space_group": "No. 189", "energy_ev_per_atom": -4.073, "lattice": [[-2.2931, -0.8563, 3.6073], [6.3064, -5.7454, 2.6451], [0.5141, 8.5970, 2.3675]], "species": ["Pt", "Na", "Pt", "P", "Pt", "Na", "Na", "Na", "Na", "P", "P"], "frac_coords": [[0.0000, 0.3603, 0.0000], [0.5000, 0.6667, 0.3333], [0.0000, 0.0000, 0.3603], [0.5000, 0.3628, 0.0000], [0.0000, 0.6397, 0.6397], [0.5000, 0.3333, 0.6667], [0.5000, 0.7328, 0.0000], [0.5000, 0.2672, 0.2672], [0.5000, 0.0000, 0.7328], [0.5000, 0.6372, 0.6372], [0.5000, 0.0000, 0.3628]]}

=====

What is the formula in the fifth record? Na2P2Pt3